# Zn2CdNi (PBE, relaxed)
data_Zn2CdNi
_cell_length_a 5.5533
_cell_length_b 7.4540
_cell_length_c 2.9262
_cell_angle_alpha 90.00
_cell_angle_beta 90.00
_cell_angle_gamma 90.00
_space_group_name_H-M_alt 'C m m m'
_space_group_IT_number 65
_space_group_name_Hall '-C 2 2'
loop_
_atom_site_label
_atom_site_type_symbol
_atom_site_fract_x
_atom_site_fract_y
_atom_site_fract_z
Zn1 Zn 0.2500 0.2500 0.0000
Cd1 Cd 0.0000 0.0000 0.5000
Ni1 Ni 0.0000 0.5000 0.5000
# Crystal system ... orthorhombic

# Zn2CdNi2 (PBE, relaxed)
data_Zn2CdNi2
_cell_length_a 7.1311
_cell_length_b 7.1311
_cell_length_c 2.7609
_cell_angle_alpha 90.00
_cell_angle_beta 90.00
_cell_angle_gamma 90.00
_space_group_name_H-M_alt 'P 4/m b m'
_space_group_IT_number 127
_space_group_name_Hall '-P 4 2ab'
loop_
_atom_site_label
_atom_site_type_symbol
_atom_site_fract_x
_atom_site_fract_y
_atom_site_fract_z
Zn1 Zn 0.1285 0.3715 0.0000
Cd1 Cd 0.0000 0.0000 0.0000
Ni1 Ni 0.1667 0.6667 0.5000
# Crystal system ... tetragonal

# ZnCdNi2 (PBE, relaxed)
data_ZnCdNi2
_cell_length_a 5.6413
_cell_length_b 6.8718
_cell_length_c 2.8495
_cell_angle_alpha 90.00
_cell_angle_beta 90.00
_cell_angle_gamma 90.00
_space_group_name_H-M_alt 'C m m m'
_space_group_IT_number 65
_space_group_name_Hall '-C 2 2'
loop_
_atom_site_label
_atom_site_type_symbol
_atom_site_fract_x
_atom_site_fract_y
_atom_site_fract_z
Zn1 Zn 0.0000 0.0000 0.0000
Cd1 Cd 0.0000 0.5000 0.0000
Ni1 Ni 0.2500 0.2500 0.5000
# Crystal system ... orthorhombic

# ZnCdNi (PBE, relaxed)
data_ZnCdNi
_cell_length_a 5.9723
_cell_length_b 5.9723
_cell_length_c 5.9723
_cell_angle_alpha 90.00
_cell_angle_beta 90.00
_cell_angle_gamma 90.00
_space_group_name_H-M_alt 'F -4 3 m'
_space_group_IT_number 216
_space_group_name_Hall 'F -4 2 3'
loop_
_atom_site_label
_atom_site_type_symbol
_atom_site_fract_x
_atom_site_fract_y
_atom_site_fract_z
Zn1 Zn 0.0000 0.0000 0.0000
Cd1 Cd 0.0000 0.0000 0.5000
Ni1 Ni 0.2500 0.2500 0.7500
# Crystal system ... cubic

# ZnCdNi2 (PBE, relaxed)
data_ZnCdNi2
_cell_length_a 8.3634
_cell_length_b 2.7917
_cell_length_c 4.9240
_cell_angle_alpha 90.00
_cell_angle_beta 100.77
_cell_angle_gamma 90.00
_space_group_name_H-M_alt 'C 1 2/m 1'
_space_group_IT_number 12
_space_group_name_Hall '-C 2y'
loop_
_atom_site_label
_atom_site_type_symbol
_atom_site_fract_x
_atom_site_fract_y
_atom_site_fract_z
Zn1 Zn 0.0000 0.0000 0.0000
Cd1 Cd 0.0000 0.5000 0.5000
Ni1 Ni 0.2437 0.5000 0.2161
# Crystal system ... monoclinic

# ZnCdNi3 (PBE, relaxed)
data_ZnCdNi3
_cell_length_a 4.3548
_cell_length_b 4.3548
_cell_length_c 4.3548
_cell_angle_alpha 90.00
_cell_angle_beta 90.00
_cell_angle_gamma 90.00
_space_group_name_H-M_alt 'P m -3 m'
_space_group_IT_number 221
_space_group_name_Hall '-P 4 2 3'
loop_
_atom_site_label
_atom_site_type_symbol
_atom_site_fract_x
_atom_site_fract_y
_atom_site_fract_z
Zn1 Zn 0.0000 0.0000 0.0000
Cd1 Cd 0.5000 0.5000 0.5000
Ni1 Ni 0.0000 0.0000 0.5000
# Crystal system ... cubic

# ZnCdNi2 (PBE, relaxed)
data_ZnCdNi2
_cell_length_a 3.7916
_cell_length_b 3.7916
_cell_length_c 7.6929
_cell_angle_alpha 90.00
_cell_angle_beta 90.00
_cell_angle_gamma 90.00
_space_group_name_H-M_alt 'I -4 m 2'
_space_group_IT_number 119
_space_group_name_Hall 'I -4 -2'
loop_
_atom_site_label
_atom_site_type_symbol
_atom_site_fract_x
_atom_site_fract_y
_atom_site_fract_z
Zn1 Zn 0.0000 0.0000 0.0000
Cd1 Cd 0.0000 0.5000 0.7500
Ni1 Ni 0.0000 0.0000 0.5000
Ni2 Ni 0.0000 0.5000 0.2500
# Crystal system ... tetragonal

# Zn2CdNi (PBE, relaxed)
data_Zn2CdNi
_cell_length_a 3.7693
_cell_length_b 3.9253
_cell_length_c 8.0956
_cell_angle_alpha 90.00
_cell_angle_beta 90.00
_cell_angle_gamma 90.00
_space_group_name_H-M_alt 'I m m 2'
_space_group_IT_number 44
_space_group_name_Hall 'I 2 -2'
loop_
_atom_site_label
_atom_site_type_symbol
_atom_site_fract_x
_atom_site_fract_y
_atom_site_fract_z
Zn1 Zn 0.0000 0.0000 0.0000
Zn2 Zn 0.0000 0.5000 0.2467
Cd1 Cd 0.0000 0.5000 0.7546
Ni1 Ni 0.0000 0.0000 0.5065
# Crystal system ... orthorhombic

# Zn2CdNi (PBE, relaxed)
data_Zn2CdNi
_cell_length_a 3.0439
_cell_length_b 4.4641
_cell_length_c 8.9612
_cell_angle_alpha 90.00
_cell_angle_beta 90.00
_cell_angle_gamma 90.00
_space_group_name_H-M_alt 'I m m m'
_space_group_IT_number 71
_space_group_name_Hall '-I 2 2'
loop_
_atom_site_label
_atom_site_type_symbol
_atom_site_fract_x
_atom_site_fract_y
_atom_site_fract_z
Zn1 Zn 0.0000 0.0000 0.2216
Cd1 Cd 0.0000 0.5000 0.0000
Ni1 Ni 0.0000 0.5000 0.5000
# Crystal system ... orthorhombic

# ZnCdNi2 (PBE, relaxed)
data_ZnCdNi2
_cell_length_a 2.8327
_cell_length_b 4.3347
_cell_length_c 4.5081
_cell_angle_alpha 90.00
_cell_angle_beta 90.00
_cell_angle_gamma 90.00
_space_group_name_H-M_alt 'P m m 2'
_space_group_IT_number 25
_space_group_name_Hall 'P 2 -2'
loop_
_atom_site_label
_atom_site_type_symbol
_atom_site_fract_x
_atom_site_fract_y
_atom_site_fract_z
Zn1 Zn 0.0000 0.0000 0.0000
Cd1 Cd 0.0000 0.5000 0.5937
Ni1 Ni 0.5000 0.0000 0.4663
Ni2 Ni 0.5000 0.5000 0.0977
# Crystal system ... orthorhombic

# Zn2CdNi (PBE, relaxed)
data_Zn2CdNi
_cell_length_a 3.0905
_cell_length_b 3.0905
_cell_length_c 6.3703
_cell_angle_alpha 90.00
_cell_angle_beta 90.00
_cell_angle_gamma 90.00
_space_group_name_H-M_alt 'P 4 m m'
_space_group_IT_number 99
_space_group_name_Hall 'P 4 -2'
loop_
_atom_site_label
_atom_site_type_symbol
_atom_site_fract_x
_atom_site_fract_y
_atom_site_fract_z
Zn1 Zn 0.0000 0.0000 0.0000
Zn2 Zn 0.5000 0.5000 0.2410
Cd1 Cd 0.0000 0.0000 0.5459
Ni1 Ni 0.5000 0.5000 0.8172
# Crystal system ... tetragonal

# ZnCdNi2 (PBE, relaxed)
data_ZnCdNi2
_cell_length_a 9.2171
_cell_length_b 2.8063
_cell_length_c 4.4928
_cell_angle_alpha 90.00
_cell_angle_beta 106.23
_cell_angle_gamma 90.00
_space_group_name_H-M_alt 'C 1 m 1'
_space_group_IT_number 8
_space_group_name_Hall 'C -2y'
loop_
_atom_site_label
_atom_site_type_symbol
_atom_site_fract_x
_atom_site_fract_y
_atom_site_fract_z
Zn1 Zn 0.0000 0.0000 0.0000
Cd1 Cd 0.2751 0.5000 0.3363
Ni1 Ni 0.0319 0.5000 0.5432
Ni2 Ni 0.2564 0.0000 0.8259
# Crystal system ... monoclinic

# ZnCd2Ni2 (PBE, relaxed)
data_ZnCd2Ni2
_cell_length_a 6.2174
_cell_length_b 6.2174
_cell_length_c 4.1190
_cell_angle_alpha 90.00
_cell_angle_beta 90.00
_cell_angle_gamma 90.00
_space_group_name_H-M_alt 'P 4/m b m'
_space_group_IT_number 127
_space_group_name_Hall '-P 4 2ab'
loop_
_atom_site_label
_atom_site_type_symbol
_atom_site_fract_x
_atom_site_fract_y
_atom_site_fract_z
Zn1 Zn 0.0000 0.0000 0.0000
Cd1 Cd 0.1681 0.3319 0.5000
Ni1 Ni 0.1345 0.6345 0.0000
# Crystal system ... tetragonal

# Zn2CdNi2 (PBE, relaxed)
data_Zn2CdNi2
_cell_length_a 7.1261
_cell_length_b 7.1261
_cell_length_c 2.7794
_cell_angle_alpha 90.00
_cell_angle_beta 90.00
_cell_angle_gamma 90.00
_space_group_name_H-M_alt 'P 4/m b m'
_space_group_IT_number 127
_space_group_name_Hall '-P 4 2ab'
loop_
_atom_site_label
_atom_site_type_symbol
_atom_site_fract_x
_atom_site_fract_y
_atom_site_fract_z
Zn1 Zn 0.1639 0.3361 0.0000
Cd1 Cd 0.0000 0.0000 0.5000
Ni1 Ni 0.1294 0.6294 0.5000
# Crystal system ... tetragonal

# Zn5CdNi4 (PBE, relaxed)
data_Zn5CdNi4
_cell_length_a 2.7970
_cell_length_b 2.7970
_cell_length_c 17.1486
_cell_angle_alpha 90.00
_cell_angle_beta 90.00
_cell_angle_gamma 90.00
_space_group_name_H-M_alt 'P 4/m m m'
_space_group_IT_number 123
_space_group_name_Hall '-P 4 2'
loop_
_atom_site_label
_atom_site_type_symbol
_atom_site_fract_x
_atom_site_fract_y
_atom_site_fract_z
Zn1 Zn 0.0000 0.0000 0.0000
Zn2 Zn 0.0000 0.0000 0.1821
Zn3 Zn 0.0000 0.0000 0.3637
Cd1 Cd 0.5000 0.5000 0.5000
Ni1 Ni 0.5000 0.5000 0.0910
Ni2 Ni 0.5000 0.5000 0.2736
# Crystal system ... tetragonal

# ZnCd3Ni (PBE, relaxed)
data_ZnCd3Ni
_cell_length_a 4.9671
_cell_length_b 4.9671
_cell_length_c 4.9671
_cell_angle_alpha 90.00
_cell_angle_beta 90.00
_cell_angle_gamma 90.00
_space_group_name_H-M_alt 'P m -3 m'
_space_group_IT_number 221
_space_group_name_Hall '-P 4 2 3'
loop_
_atom_site_label
_atom_site_type_symbol
_atom_site_fract_x
_atom_site_fract_y
_atom_site_fract_z
Zn1 Zn 0.0000 0.0000 0.0000
Cd1 Cd 0.0000 0.0000 0.5000
Ni1 Ni 0.5000 0.5000 0.5000
# Crystal system ... cubic

# ZnCdNi3 (PBE, relaxed)
data_ZnCdNi3
_cell_length_a 4.6545
_cell_length_b 4.6545
_cell_length_c 4.6545
_cell_angle_alpha 90.00
_cell_angle_beta 90.00
_cell_angle_gamma 90.00
_space_group_name_H-M_alt 'P m -3 m'
_space_group_IT_number 221
_space_group_name_Hall '-P 4 2 3'
loop_
_atom_site_label
_atom_site_type_symbol
_atom_site_fract_x
_atom_site_fract_y
_atom_site_fract_z
Zn1 Zn 0.0000 0.0000 0.0000
Cd1 Cd 0.5000 0.5000 0.5000
Ni1 Ni 0.0000 0.5000 0.5000
# Crystal system ... cubic

# ZnCdNi (PBE, relaxed)
data_ZnCdNi
_cell_length_a 4.2941
_cell_length_b 4.2941
_cell_length_c 2.8694
_cell_angle_alpha 90.00
_cell_angle_beta 90.00
_cell_angle_gamma 120.00
_space_group_name_H-M_alt 'P 3 m 1'
_space_group_IT_number 156
_space_group_name_Hall 'P 3 -2"'
loop_
_atom_site_label
_atom_site_type_symbol
_atom_site_fract_x
_atom_site_fract_y
_atom_site_fract_z
Zn1 Zn 0.0000 0.0000 0.0000
Cd1 Cd 0.3333 0.6667 0.4931
Ni1 Ni 0.6667 0.3333 0.9880
# Crystal system ... trigonal

# Zn2CdNi (PBE, relaxed)
data_Zn2CdNi
_cell_length_a 6.2167
_cell_length_b 6.2167
_cell_length_c 6.2167
_cell_angle_alpha 90.00
_cell_angle_beta 90.00
_cell_angle_gamma 90.00
_space_group_name_H-M_alt 'F -4 3 m'
_space_group_IT_number 216
_space_group_name_Hall 'F -4 2 3'
loop_
_atom_site_label
_atom_site_type_symbol
_atom_site_fract_x
_atom_site_fract_y
_atom_site_fract_z
Zn1 Zn 0.0000 0.0000 0.0000
Zn2 Zn 0.2500 0.2500 0.2500
Cd1 Cd 0.0000 0.0000 0.5000
Ni1 Ni 0.2500 0.2500 0.7500
# Crystal system ... cubic

# Zn6CdNi5 (PBE, relaxed)
data_Zn6CdNi5
_cell_length_a 3.8205
_cell_length_b 7.1264
_cell_length_c 6.0522
_cell_angle_alpha 90.00
_cell_angle_beta 108.28
_cell_angle_gamma 90.00
_space_group_name_H-M_alt 'P 1 2/m 1'
_space_group_IT_number 10
_space_group_name_Hall '-P 2y'
loop_
_atom_site_label
_atom_site_type_symbol
_atom_site_fract_x
_atom_site_fract_y
_atom_site_fract_z
Zn1 Zn 0.0000 0.2252 0.0000
Zn2 Zn 0.3277 0.2371 0.6557
Cd1 Cd 0.5000 0.5000 0.0000
Ni1 Ni 0.1667 0.0000 0.3331
Ni2 Ni 0.1723 0.5000 0.3450
Ni3 Ni 0.5000 0.0000 0.0000
# Crystal system ... monoclinic

# ZnCdNi2 (PBE, relaxed)
data_ZnCdNi2
_cell_length_a 6.0568
_cell_length_b 6.0568
_cell_length_c 6.0568
_cell_angle_alpha 90.00
_cell_angle_beta 90.00
_cell_angle_gamma 90.00
_space_group_name_H-M_alt 'F -4 3 m'
_space_group_IT_number 216
_space_group_name_Hall 'F -4 2 3'
loop_
_atom_site_label
_atom_site_type_symbol
_atom_site_fract_x
_atom_site_fract_y
_atom_site_fract_z
Zn1 Zn 0.0000 0.0000 0.0000
Cd1 Cd 0.2500 0.2500 0.7500
Ni1 Ni 0.0000 0.0000 0.5000
Ni2 Ni 0.2500 0.2500 0.2500
# Crystal system ... cubic

# ZnCdNi (PBE, relaxed)
data_ZnCdNi
_cell_length_a 6.0593
_cell_length_b 6.0593
_cell_length_c 6.0593
_cell_angle_alpha 90.00
_cell_angle_beta 90.00
_cell_angle_gamma 90.00
_space_group_name_H-M_alt 'F -4 3 m'
_space_group_IT_number 216
_space_group_name_Hall 'F -4 2 3'
loop_
_atom_site_label
_atom_site_type_symbol
_atom_site_fract_x
_atom_site_fract_y
_atom_site_fract_z
Zn1 Zn 0.0000 0.0000 0.0000
Cd1 Cd 0.2500 0.2500 0.2500
Ni1 Ni 0.0000 0.0000 0.5000
# Crystal system ... cubic

# Zn2CdNi2 (PBE, relaxed)
data_Zn2CdNi2
_cell_length_a 3.6492
_cell_length_b 3.6492
_cell_length_c 11.3671
_cell_angle_alpha 90.00
_cell_angle_beta 90.00
_cell_angle_gamma 90.00
_space_group_name_H-M_alt 'I 4/m m m'
_space_group_IT_number 139
_space_group_name_Hall '-I 4 2'
loop_
_atom_site_label
_atom_site_type_symbol
_atom_site_fract_x
_atom_site_fract_y
_atom_site_fract_z
Zn1 Zn 0.0000 0.5000 0.2500
Cd1 Cd 0.0000 0.0000 0.0000
Ni1 Ni 0.0000 0.0000 0.3977
# Crystal system ... tetragonal

# ZnCd2Ni2 (PBE, relaxed)
data_ZnCd2Ni2
_cell_length_a 3.3061
_cell_length_b 3.3061
_cell_length_c 15.9661
_cell_angle_alpha 90.00
_cell_angle_beta 90.00
_cell_angle_gamma 90.00
_space_group_name_H-M_alt 'I 4/m m m'
_space_group_IT_number 139
_space_group_name_Hall '-I 4 2'
loop_
_atom_site_label
_atom_site_type_symbol
_atom_site_fract_x
_atom_site_fract_y
_atom_site_fract_z
Zn1 Zn 0.0000 0.0000 0.0000
Cd1 Cd 0.0000 0.0000 0.3863
Ni1 Ni 0.0000 0.5000 0.2500
# Crystal system ... tetragonal

# ZrCdNi (PBE, relaxed)
data_ZrCdNi
_cell_length_a 4.5846
_cell_length_b 4.5846
_cell_length_c 2.9271
_cell_angle_alpha 90.00
_cell_angle_beta 90.00
_cell_angle_gamma 120.00
_space_group_name_H-M_alt 'P 3 m 1'
_space_group_IT_number 156
_space_group_name_Hall 'P 3 -2"'
loop_
_atom_site_label
_atom_site_type_symbol
_atom_site_fract_x
_atom_site_fract_y
_atom_site_fract_z
Zr1 Zr 0.0000 0.0000 0.0000
Cd1 Cd 0.3333 0.6667 0.4999
Ni1 Ni 0.6667 0.3333 0.5028
# Crystal system ... trigonal

# ZrCd2Ni (PBE, relaxed)
data_ZrCd2Ni
_cell_length_a 11.3982
_cell_length_b 3.0700
_cell_length_c 4.7285
_cell_angle_alpha 90.00
_cell_angle_beta 114.43
_cell_angle_gamma 90.00
_space_group_name_H-M_alt 'C 1 2/m 1'
_space_group_IT_number 12
_space_group_name_Hall '-C 2y'
loop_
_atom_site_label
_atom_site_type_symbol
_atom_site_fract_x
_atom_site_fract_y
_atom_site_fract_z
Zr1 Zr 0.0000 0.0000 0.0000
Cd1 Cd 0.2136 0.0000 0.7138
Ni1 Ni 0.0000 0.5000 0.5000
# Crystal system ... monoclinic

# ZrCd2Ni2 (PBE, relaxed)
data_ZrCd2Ni2
_cell_length_a 7.7154
_cell_length_b 7.7154
_cell_length_c 2.8618
_cell_angle_alpha 90.00
_cell_angle_beta 90.00
_cell_angle_gamma 90.00
_space_group_name_H-M_alt 'P 4/m b m'
_space_group_IT_number 127
_space_group_name_Hall '-P 4 2ab'
loop_
_atom_site_label
_atom_site_type_symbol
_atom_site_fract_x
_atom_site_fract_y
_atom_site_fract_z
Zr1 Zr 0.0000 0.0000 0.0000
Cd1 Cd 0.1267 0.3733 0.0000
Ni1 Ni 0.1742 0.6742 0.5000
# Crystal system ... tetragonal

# Zr2CdNi (PBE, relaxed)
data_Zr2CdNi
_cell_length_a 4.0371
_cell_length_b 4.0371
_cell_length_c 20.3171
_cell_angle_alpha 90.00
_cell_angle_beta 90.00
_cell_angle_gamma 90.00
_space_group_name_H-M_alt 'I -4 2 d'
_space_group_IT_number 122
_space_group_name_Hall 'I -4 2bw'
loop_
_atom_site_label
_atom_site_type_symbol
_atom_site_fract_x
_atom_site_fract_y
_atom_site_fract_z
Zr1 Zr 0.2419 0.2500 0.1250
Cd1 Cd 0.0000 0.0000 0.5000
Ni1 Ni 0.0000 0.0000 0.0000
# Crystal system ... tetragonal

no.,density (g/cm3),formation energy (meV/atom)
1,8.28,52
2,8.53,-99
3,8.88,-32
4,7.37,111
5,8.68,55
6,7.12,668
7,8.86,22
8,8.37,-18
9,8.23,-31
10,8.86,-25
11,8.24,-39
12,8.79,1
13,8.50,-25
14,8.49,-92
15,8.35,-166
16,6.25,740
17,5.83,1302
18,8.57,10
19,8.35,25
20,8.47,-155
21,8.82,65
22,7.06,408
23,7.91,43
24,7.76,257
25,8.18,-99
26,8.26,-31
27,8.45,56
28,7.09,452